Entry 1:
# Zn2CdBr6 PBE relaxed
data_Zn2CdBr6
_space_group_name_H-M_alt 'C 1 2/c 1'
_space_group_IT_number 15
_space_group_name_Hall '-C 2yc'
_cell_length_a 14.218
_cell_length_b 14.520
_cell_length_c 6.749
_cell_angle_alpha 90.00
_cell_angle_beta 114.09
_cell_angle_gamma 90.00
loop_
_atom_site_label
_atom_site_type_symbol
_atom_site_fract_x
_atom_site_fract_y
_atom_site_fract_z
Zn1 Zn 0.216 0.078 0.338
Cd1 Cd 0.000 0.291 0.250
Br1 Br 0.103 0.401 0.588
Br2 Br 0.122 0.205 0.103
Br3 Br 0.167 0.071 0.643
# total moment: 0.000 μB per cell
# ΔE_f (raw): -0.86 eV per atom
# uncorrected energy: -2.3586 eV/atom

Entry 2:
# ZnCdBr4 PBE relaxed
data_ZnCdBr4
_space_group_name_H-M_alt 'C 1 2/m 1'
_space_group_IT_number 12
_space_group_name_Hall '-C 2y'
_cell_length_a 15.320
_cell_length_b 3.907
_cell_length_c 6.834
_cell_angle_alpha 90.00
_cell_angle_beta 116.25
_cell_angle_gamma 90.00
loop_
_atom_site_label
_atom_site_type_symbol
_atom_site_fract_x
_atom_site_fract_y
_atom_site_fract_z
Zn1 Zn 0.000 0.000 0.000
Cd1 Cd 0.000 0.500 0.500
Br1 Br 0.110 0.500 0.263
Br2 Br 0.113 0.000 0.797
# total moment: 0.000 μB per cell
# ΔE_f (raw): -0.82 eV per atom
# relative energy among the computed polymorphs: 0.0 kJ/mol of atoms
# uncorrected energy: -2.2981 eV/atom

Entry 3:
# Zn2CdBr PBE relaxed
data_Zn2CdBr
_space_group_name_H-M_alt 'R 3 m'
_space_group_IT_number 160
_space_group_name_Hall 'R 3 -2"'
_cell_length_a 3.5907
_cell_length_b 3.5907
_cell_length_c 23.7989
_cell_angle_alpha 90.00
_cell_angle_beta 90.00
_cell_angle_gamma 120.00
loop_
_atom_site_label
_atom_site_type_symbol
_atom_site_fract_x
_atom_site_fract_y
_atom_site_fract_z
Zn1 Zn 0.0000 0.0000 0.0000
Zn2 Zn 0.0000 0.0000 0.2637
Cd1 Cd 0.0000 0.0000 0.5152
Br1 Br 0.0000 0.0000 0.7441
# total moment: 0.000 μB per cell
# ΔE_f (raw): -0.09 eV per atom
# relative energy among the computed polymorphs: 8.3 kJ/mol of atoms
# uncorrected energy: -1.3777 eV/atom

Entry 4:
# Zn2CdBr PBE relaxed
data_Zn2CdBr
_space_group_name_H-M_alt 'P m m m'
_space_group_IT_number 47
_space_group_name_Hall '-P 2 2'
_cell_length_a 3.359
_cell_length_b 3.433
_cell_length_c 7.684
_cell_angle_alpha 90.00
_cell_angle_beta 90.00
_cell_angle_gamma 90.00
loop_
_atom_site_label
_atom_site_type_symbol
_atom_site_fract_x
_atom_site_fract_y
_atom_site_fract_z
Zn1 Zn 0.000 0.000 0.225
Cd1 Cd 0.500 0.500 0.000
Br1 Br 0.000 0.500 0.500
# total moment: 0.000 μB per cell
# ΔE_f (raw): -0.03 eV per atom
# relative energy among the computed polymorphs: 14.2 kJ/mol of atoms
# uncorrected energy: -1.3164 eV/atom

Entry 5:
# ZnCd2Br6 PBE relaxed
data_ZnCd2Br6
_space_group_name_H-M_alt 'C 1 2/c 1'
_space_group_IT_number 15
_space_group_name_Hall '-C 2yc'
_cell_length_a 14.912
_cell_length_b 14.840
_cell_length_c 7.057
_cell_angle_alpha 90.00
_cell_angle_beta 116.32
_cell_angle_gamma 90.00
loop_
_atom_site_label
_atom_site_type_symbol
_atom_site_fract_x
_atom_site_fract_y
_atom_site_fract_z
Zn1 Zn 0.000 0.220 0.250
Cd1 Cd 0.230 0.419 0.416
Br1 Br 0.093 0.126 0.560
Br2 Br 0.102 0.308 0.126
Br3 Br 0.202 0.414 0.758
# total moment: 0.000 μB per cell
# ΔE_f (raw): -0.85 eV per atom
# uncorrected energy: -2.3063 eV/atom

Entry 6:
# ZnCd4Br PBE relaxed
data_ZnCd4Br
_space_group_name_H-M_alt 'F -4 3 m'
_space_group_IT_number 216
_space_group_name_Hall 'F -4 2 3'
_cell_length_a 8.481
_cell_length_b 8.481
_cell_length_c 8.481
_cell_angle_alpha 90.00
_cell_angle_beta 90.00
_cell_angle_gamma 90.00
loop_
_atom_site_label
_atom_site_type_symbol
_atom_site_fract_x
_atom_site_fract_y
_atom_site_fract_z
Zn1 Zn 0.000 0.000 0.000
Cd1 Cd 0.126 0.126 0.374
Br1 Br 0.250 0.250 0.750
# total moment: 0.000 μB per cell
# ΔE_f (raw): 0.11 eV per atom
# uncorrected energy: -0.9875 eV/atom

Entry 7:
# Zn2CdBr PBE relaxed
data_Zn2CdBr
_space_group_name_H-M_alt 'I -4 m 2'
_space_group_IT_number 119
_space_group_name_Hall 'I -4 -2'
_cell_length_a 4.003
_cell_length_b 4.003
_cell_length_c 11.958
_cell_angle_alpha 90.00
_cell_angle_beta 90.00
_cell_angle_gamma 90.00
loop_
_atom_site_label
_atom_site_type_symbol
_atom_site_fract_x
_atom_site_fract_y
_atom_site_fract_z
Zn1 Zn 0.000 0.000 0.000
Zn2 Zn 0.000 0.500 0.250
Cd1 Cd 0.000 0.000 0.500
Br1 Br 0.000 0.500 0.750
# total moment: 0.000 μB per cell
# ΔE_f (raw): 0.10 eV per atom
# relative energy among the computed polymorphs: 26.7 kJ/mol of atoms
# uncorrected energy: -1.1876 eV/atom

Entry 8:
# ZnCd3Br PBE relaxed
data_ZnCd3Br
_space_group_name_H-M_alt 'P m -3 m'
_space_group_IT_number 221
_space_group_name_Hall '-P 4 2 3'
_cell_length_a 5.231
_cell_length_b 5.231
_cell_length_c 5.231
_cell_angle_alpha 90.00
_cell_angle_beta 90.00
_cell_angle_gamma 90.00
loop_
_atom_site_label
_atom_site_type_symbol
_atom_site_fract_x
_atom_site_fract_y
_atom_site_fract_z
Zn1 Zn 0.000 0.000 0.000
Cd1 Cd 0.000 0.000 0.500
Br1 Br 0.500 0.500 0.500
# total moment: 0.000 μB per cell
# ΔE_f (raw): -0.02 eV per atom
# relative energy among the computed polymorphs: 0.0 kJ/mol of atoms
# uncorrected energy: -1.1619 eV/atom

Entry 9:
# Zn2CdBr PBE relaxed
data_Zn2CdBr
_space_group_name_H-M_alt 'I -4 2 d'
_space_group_IT_number 122
_space_group_name_Hall 'I -4 2bw'
_cell_length_a 7.729
_cell_length_b 7.729
_cell_length_c 6.310
_cell_angle_alpha 90.00
_cell_angle_beta 90.00
_cell_angle_gamma 90.00
loop_
_atom_site_label
_atom_site_type_symbol
_atom_site_fract_x
_atom_site_fract_y
_atom_site_fract_z
Zn1 Zn 0.240 0.250 0.125
Cd1 Cd 0.000 0.000 0.000
Br1 Br 0.000 0.000 0.500
# total moment: 0.000 μB per cell
# ΔE_f (raw): 0.00 eV per atom
# relative energy among the computed polymorphs: 17.4 kJ/mol of atoms
# uncorrected energy: -1.2833 eV/atom

Entry 10:
# Zn2CdBr PBE relaxed
data_Zn2CdBr
_space_group_name_H-M_alt 'P 1 m 1'
_space_group_IT_number 6
_space_group_name_Hall 'P -2y'
_cell_length_a 3.298
_cell_length_b 3.420
_cell_length_c 7.799
_cell_angle_alpha 90.00
_cell_angle_beta 90.10
_cell_angle_gamma 90.00
loop_
_atom_site_label
_atom_site_type_symbol
_atom_site_fract_x
_atom_site_fract_y
_atom_site_fract_z
Zn1 Zn 0.000 0.000 0.000
Zn2 Zn 0.500 0.500 0.187
Cd1 Cd 0.499 0.500 0.766
Br1 Br 0.504 0.000 0.443
# total moment: 0.000 μB per cell
# ΔE_f (raw): -0.05 eV per atom
# relative energy among the computed polymorphs: 12.1 kJ/mol of atoms
# uncorrected energy: -1.3383 eV/atom

Entry 11:
# ZnCdBr4 PBE relaxed
data_ZnCdBr4
_space_group_name_H-M_alt 'F -4 3 m'
_space_group_IT_number 216
_space_group_name_Hall 'F -4 2 3'
_cell_length_a 9.069
_cell_length_b 9.069
_cell_length_c 9.069
_cell_angle_alpha 90.00
_cell_angle_beta 90.00
_cell_angle_gamma 90.00
loop_
_atom_site_label
_atom_site_type_symbol
_atom_site_fract_x
_atom_site_fract_y
_atom_site_fract_z
Zn1 Zn 0.000 0.000 0.000
Cd1 Cd 0.250 0.250 0.250
Br1 Br 0.125 0.125 0.625
# total moment: 10.844 μB per cell
# ΔE_f (raw): 0.50 eV per atom
# relative energy among the computed polymorphs: 127.6 kJ/mol of atoms
# uncorrected energy: -0.9757 eV/atom

Entry 12:
# Zn2CdBr PBE relaxed
data_Zn2CdBr
_space_group_name_H-M_alt 'R -3 m'
_space_group_IT_number 166
_space_group_name_Hall '-R 3 2"'
_cell_length_a 3.6757
_cell_length_b 3.6757
_cell_length_c 23.0893
_cell_angle_alpha 90.00
_cell_angle_beta 90.00
_cell_angle_gamma 120.00
loop_
_atom_site_label
_atom_site_type_symbol
_atom_site_fract_x
_atom_site_fract_y
_atom_site_fract_z
Zn1 Zn 0.0000 0.0000 0.2474
Cd1 Cd 0.0000 0.0000 0.5000
Br1 Br 0.0000 0.0000 0.0000
# total moment: 0.000 μB per cell
# ΔE_f (raw): -0.05 eV per atom
# relative energy among the computed polymorphs: 12.1 kJ/mol of atoms
# uncorrected energy: -1.3384 eV/atom

What did the seventh record say?
# Zn2CdBr PBE relaxed
data_Zn2CdBr
_space_group_name_H-M_alt 'I -4 m 2'
_space_group_IT_number 119
_space_group_name_Hall 'I -4 -2'
_cell_length_a 4.003
_cell_length_b 4.003
_cell_length_c 11.958
_cell_angle_alpha 90.00
_cell_angle_beta 90.00
_cell_angle_gamma 90.00
loop_
_atom_site_label
_atom_site_type_symbol
_atom_site_fract_x
_atom_site_fract_y
_atom_site_fract_z
Zn1 Zn 0.000 0.000 0.000
Zn2 Zn 0.000 0.500 0.250
Cd1 Cd 0.000 0.000 0.500
Br1 Br 0.000 0.500 0.750
# total moment: 0.000 μB per cell
# ΔE_f (raw): 0.10 eV per atom
# relative energy among the computed polymorphs: 26.7 kJ/mol of atoms
# uncorrected energy: -1.1876 eV/atom

> What is the formula in the eighth record?

ZnCd3Br

> The highest uncorrected energy belongs to which entry?

number 11

> Which formula does entry 6 have?

ZnCd4Br